[1]
Density functional theory data (GGA-PBE) for an optimized crystal structure of RbNpTe3Se.

Cell and atoms, written as CIF:
```
data_RbNpTe3Se
_cell_length_a 9.097
_cell_length_b 4.231
_cell_length_c 10.841
_cell_angle_alpha 90.00
_cell_angle_beta 97.74
_cell_angle_gamma 90.00
_space_group_name_H-M_alt 'P 1 21/m 1'
_space_group_IT_number 11
loop_
_space_group_symop_operation_xyz
'x,y,z'
'-x,-y,-z'
'-x,y+1/2,-z'
'x,-y+1/2,z'
loop_
_atom_site_label
_atom_site_type_symbol
_atom_site_fract_x
_atom_site_fract_y
_atom_site_fract_z
Rb1 Rb 0.166 0.250 0.305
Np1 Np 0.348 0.750 0.836
Te1 Te 0.106 0.250 0.901
Te2 Te 0.401 0.750 0.546
Te3 Te 0.403 0.750 0.128
Se1 Se 0.199 0.250 0.673
```

Uncorrected formation energy   -0.68 eV per atom
DOS at the Fermi energy   21.73 states/eV per cell
Total energy   -5.152 eV/atom

[2]
Density functional theory data (GGA-PBE) for an optimized crystal structure of RbThNpSe4.

Cell and atoms, written as CIF:
```
data_RbThNpSe4
_cell_length_a 8.983
_cell_length_b 9.050
_cell_length_c 12.659
_cell_angle_alpha 90.00
_cell_angle_beta 90.00
_cell_angle_gamma 90.00
_space_group_name_H-M_alt 'I m m a'
_space_group_IT_number 74
_space_group_name_Hall '-I 2b 2'
loop_
_atom_site_label
_atom_site_type_symbol
_atom_site_fract_x
_atom_site_fract_y
_atom_site_fract_z
Rb1 Rb 0.000 0.250 0.130
Th1 Th 0.000 0.000 0.500
Np1 Np 0.250 0.250 0.750
Se1 Se 0.000 0.043 0.729
Se2 Se 0.209 0.250 0.517
```

Uncorrected formation energy   -1.39 eV per atom
DOS at the Fermi energy   28.46 states/eV per cell
Total energy   -6.428 eV/atom

[3]
Density functional theory data (GGA-PBE) for an optimized crystal structure of Rb3ThNp3Se8.

Cell and atoms, written as CIF:
```
data_Rb3ThNp3Se8
_cell_length_a 14.732
_cell_length_b 8.517
_cell_length_c 8.339
_cell_angle_alpha 90.00
_cell_angle_beta 90.35
_cell_angle_gamma 90.00
_space_group_name_H-M_alt 'C 1 2/m 1'
_space_group_IT_number 12
loop_
_space_group_symop_operation_xyz
'x,y,z'
'-x,-y,-z'
'-x,y,-z'
'x,-y,z'
'x+1/2,y+1/2,z'
'-x+1/2,-y+1/2,-z'
'-x+1/2,y+1/2,-z'
'x+1/2,-y+1/2,z'
loop_
_atom_site_label
_atom_site_type_symbol
_atom_site_fract_x
_atom_site_fract_y
_atom_site_fract_z
Rb1 Rb 0.000 0.000 0.000
Rb2 Rb 0.250 0.250 0.000
Th1 Th 0.000 0.000 0.500
Np1 Np 0.000 0.500 0.500
Np2 Np 0.250 0.250 0.500
Se1 Se 0.083 0.249 0.308
Se2 Se 0.167 0.000 0.697
Se3 Se 0.169 0.500 0.685
```

Uncorrected formation energy   -1.32 eV per atom
DOS at the Fermi energy   44.70 states/eV per cell
Total energy   -6.454 eV/atom

[4]
Density functional theory data (GGA-PBE) for an optimized crystal structure of Rb3ThNp2Se6.

Cell and atoms, written as CIF:
```
data_Rb3ThNp2Se6
_cell_length_a 7.471
_cell_length_b 12.941
_cell_length_c 8.420
_cell_angle_alpha 90.00
_cell_angle_beta 107.20
_cell_angle_gamma 90.00
_space_group_name_H-M_alt 'C 1 2/m 1'
_space_group_IT_number 12
loop_
_space_group_symop_operation_xyz
'x,y,z'
'-x,-y,-z'
'-x,y,-z'
'x,-y,z'
'x+1/2,y+1/2,z'
'-x+1/2,-y+1/2,-z'
'-x+1/2,y+1/2,-z'
'x+1/2,-y+1/2,z'
loop_
_atom_site_label
_atom_site_type_symbol
_atom_site_fract_x
_atom_site_fract_y
_atom_site_fract_z
Rb1 Rb 0.000 0.000 0.000
Rb2 Rb 0.000 0.333 0.000
Th1 Th 0.000 0.500 0.500
Np1 Np 0.000 0.167 0.500
Se1 Se 0.233 0.334 0.699
Se2 Se 0.234 0.000 0.699
```

Uncorrected formation energy   -1.35 eV per atom
DOS at the Fermi energy   48.66 states/eV per cell
Total energy   -6.106 eV/atom

[5]
Density functional theory data (GGA-PBE) for an optimized crystal structure of Rb4ThNp3Se8.

Cell and atoms, written as CIF:
```
data_Rb4ThNp3Se8
_cell_length_a 8.6324
_cell_length_b 8.6324
_cell_length_c 24.0530
_cell_angle_alpha 90.00
_cell_angle_beta 90.00
_cell_angle_gamma 120.00
_space_group_name_H-M_alt 'R -3 m'
_space_group_IT_number 166
_space_group_name_Hall '-R 3 2"'
loop_
_atom_site_label
_atom_site_type_symbol
_atom_site_fract_x
_atom_site_fract_y
_atom_site_fract_z
Rb1 Rb 0.0000 0.0000 0.0000
Rb2 Rb 0.0000 0.5000 0.0000
Th1 Th 0.0000 0.0000 0.5000
Np1 Np 0.0000 0.5000 0.5000
Se1 Se 0.0000 0.0000 0.2312
Se2 Se 0.0017 0.5008 0.2332
```

Uncorrected formation energy   -1.33 eV per atom
DOS at the Fermi energy   83.37 states/eV per cell
Total energy   -6.200 eV/atom

[6]
Density functional theory data (GGA-PBE) for an optimized crystal structure of Rb4Th3NpSe8.

Cell and atoms, written as CIF:
```
data_Rb4Th3NpSe8
_cell_length_a 8.5777
_cell_length_b 8.5777
_cell_length_c 24.3768
_cell_angle_alpha 90.00
_cell_angle_beta 90.00
_cell_angle_gamma 120.00
_space_group_name_H-M_alt 'R -3 m'
_space_group_IT_number 166
_space_group_name_Hall '-R 3 2"'
loop_
_atom_site_label
_atom_site_type_symbol
_atom_site_fract_x
_atom_site_fract_y
_atom_site_fract_z
Rb1 Rb 0.0000 0.0000 0.0000
Rb2 Rb 0.0000 0.5000 0.0000
Th1 Th 0.0000 0.5000 0.5000
Np1 Np 0.0000 0.0000 0.5000
Se1 Se 0.0000 0.0000 0.2354
Se2 Se 0.0005 0.5003 0.7655
```

Uncorrected formation energy   -1.45 eV per atom
DOS at the Fermi energy   52.92 states/eV per cell
Total energy   -5.639 eV/atom

Which value of uncorrected formation energy does entry 6 give?
-1.45 eV per atom

Which formula does entry 1 have?
RbNpTe3Se

Which of these has the lowest total energy?
Rb3ThNp3Se8

Copy entry 1 word for word.
Density functional theory data (GGA-PBE) for an optimized crystal structure of RbNpTe3Se.

Cell and atoms, written as CIF:
```
data_RbNpTe3Se
_cell_length_a 9.097
_cell_length_b 4.231
_cell_length_c 10.841
_cell_angle_alpha 90.00
_cell_angle_beta 97.74
_cell_angle_gamma 90.00
_space_group_name_H-M_alt 'P 1 21/m 1'
_space_group_IT_number 11
loop_
_space_group_symop_operation_xyz
'x,y,z'
'-x,-y,-z'
'-x,y+1/2,-z'
'x,-y+1/2,z'
loop_
_atom_site_label
_atom_site_type_symbol
_atom_site_fract_x
_atom_site_fract_y
_atom_site_fract_z
Rb1 Rb 0.166 0.250 0.305
Np1 Np 0.348 0.750 0.836
Te1 Te 0.106 0.250 0.901
Te2 Te 0.401 0.750 0.546
Te3 Te 0.403 0.750 0.128
Se1 Se 0.199 0.250 0.673
```

Uncorrected formation energy   -0.68 eV per atom
DOS at the Fermi energy   21.73 states/eV per cell
Total energy   -5.152 eV/atom